A:
# TlAgF3 (SCAN, PBEsol geometry)
# Spin magnetization   0.00 μB per formula unit
data_TlAgF3
_chemical_formula_sum 'Tl8 Ag8 F24'
_space_group_name_H-M_alt 'C 1 2/c 1'
_space_group_IT_number 15
_space_group_name_Hall '-C 2yc'
_cell_length_a 11.1954
_cell_length_b 7.3422
_cell_length_c 7.6388
_cell_angle_alpha 90.00
_cell_angle_beta 101.44
_cell_angle_gamma 90.00
loop_
_atom_site_label
_atom_site_fract_x
_atom_site_fract_y
_atom_site_fract_z
Tl1 0.0000 0.1654 0.2500
Tl2 0.0000 0.3080 0.7500
Ag1 0.2411 0.0158 0.4084
F1 0.1195 0.2119 0.9936
F2 0.1229 0.4547 0.2945
F3 0.1394 0.2097 0.6079



B:
# TlAgF3 (SCAN, PBEsol geometry)
# Spin magnetization   0.00 μB per formula unit
data_TlAgF3
_chemical_formula_sum 'Tl1 Ag1 F3'
_space_group_name_H-M_alt 'P m -3 m'
_space_group_IT_number 221
_space_group_name_Hall '-P 4 2 3'
_cell_length_a 4.3192
_cell_length_b 4.3192
_cell_length_c 4.3192
_cell_angle_alpha 90.00
_cell_angle_beta 90.00
_cell_angle_gamma 90.00
loop_
_atom_site_label
_atom_site_fract_x
_atom_site_fract_y
_atom_site_fract_z
Tl1 0.0000 0.0000 0.0000
Ag1 0.5000 0.5000 0.5000
F1 0.0000 0.5000 0.5000



Decreasing stability: A, B



A:
# FeAgHg2 (SCAN, PBEsol geometry)
# Spin magnetization   2.91 μB per formula unit
data_FeAgHg2
_chemical_formula_sum 'Fe2 Ag2 Hg4'
_space_group_name_H-M_alt 'C 1 2/m 1'
_space_group_IT_number 12
_space_group_name_Hall '-C 2y'
_cell_length_a 8.9634
_cell_length_b 2.9529
_cell_length_c 5.4153
_cell_angle_alpha 90.00
_cell_angle_beta 99.92
_cell_angle_gamma 90.00
loop_
_atom_site_label
_atom_site_fract_x
_atom_site_fract_y
_atom_site_fract_z
Fe1 0.0000 0.0000 0.0000
Ag1 0.0000 0.5000 0.5000
Hg1 0.2447 0.5000 0.2387



B:
# FeAgHg2 (SCAN, PBEsol geometry)
# Spin magnetization   2.84 μB per formula unit
data_FeAgHg2
_chemical_formula_sum 'Fe2 Ag2 Hg4'
_space_group_name_H-M_alt 'C 1 m 1'
_space_group_IT_number 8
_space_group_name_Hall 'C -2y'
_cell_length_a 10.6303
_cell_length_b 2.9099
_cell_length_c 4.8870
_cell_angle_alpha 90.00
_cell_angle_beta 112.35
_cell_angle_gamma 90.00
loop_
_atom_site_label
_atom_site_fract_x
_atom_site_fract_y
_atom_site_fract_z
Fe1 0.0000 0.0000 0.0000
Ag1 0.2755 0.0000 0.6540
Hg1 0.0095 0.5000 0.4946
Hg2 0.2355 0.5000 0.1173



Decreasing stability: B, A



A:
# FeAgIN2 (SCAN, PBEsol geometry)
# Spin magnetization   6.66 μB per formula unit
data_FeAgIN2
_chemical_formula_sum 'Fe1 Ag1 I1 N2'
_space_group_name_H-M_alt 'P 4/m m m'
_space_group_IT_number 123
_space_group_name_Hall '-P 4 2'
_cell_length_a 3.9350
_cell_length_b 3.9350
_cell_length_c 6.4446
_cell_angle_alpha 90.00
_cell_angle_beta 90.00
_cell_angle_gamma 90.00
loop_
_atom_site_label
_atom_site_fract_x
_atom_site_fract_y
_atom_site_fract_z
Fe1 0.0000 0.0000 0.0000
Ag1 0.5000 0.5000 0.5000
I1 0.5000 0.5000 0.0000
N1 0.0000 0.5000 0.5000



B:
# FeAgIN2 (SCAN, PBEsol geometry)
# Spin magnetization   0.00 μB per formula unit
data_FeAgIN2
_chemical_formula_sum 'Fe1 Ag1 I1 N2'
_space_group_name_H-M_alt 'P 4/m m m'
_space_group_IT_number 123
_space_group_name_Hall '-P 4 2'
_cell_length_a 3.6983
_cell_length_b 3.6983
_cell_length_c 5.6342
_cell_angle_alpha 90.00
_cell_angle_beta 90.00
_cell_angle_gamma 90.00
loop_
_atom_site_label
_atom_site_fract_x
_atom_site_fract_y
_atom_site_fract_z
Fe1 0.0000 0.0000 0.0000
Ag1 0.5000 0.5000 0.5000
I1 0.0000 0.0000 0.5000
N1 0.0000 0.5000 0.0000



Decreasing stability: B, A



A:
# InFeAg (SCAN, PBEsol geometry)
# Spin magnetization   2.88 μB per formula unit
data_InFeAg
_chemical_formula_sum 'In2 Fe2 Ag2'
_space_group_name_H-M_alt 'I 4 m m'
_space_group_IT_number 107
_space_group_name_Hall 'I 4 -2'
_cell_length_a 2.9150
_cell_length_b 2.9150
_cell_length_c 11.4953
_cell_angle_alpha 90.00
_cell_angle_beta 90.00
_cell_angle_gamma 90.00
loop_
_atom_site_label
_atom_site_fract_x
_atom_site_fract_y
_atom_site_fract_z
In1 0.0000 0.0000 0.0000
Fe1 0.0000 0.0000 0.6604
Ag1 0.0000 0.0000 0.3132



B:
# InFeAg (SCAN, PBEsol geometry)
# Spin magnetization   3.05 μB per formula unit
data_InFeAg
_chemical_formula_sum 'In4 Fe4 Ag4'
_space_group_name_H-M_alt 'F -4 3 m'
_space_group_IT_number 216
_space_group_name_Hall 'F -4 2 3'
_cell_length_a 6.1777
_cell_length_b 6.1777
_cell_length_c 6.1777
_cell_angle_alpha 90.00
_cell_angle_beta 90.00
_cell_angle_gamma 90.00
loop_
_atom_site_label
_atom_site_fract_x
_atom_site_fract_y
_atom_site_fract_z
In1 0.0000 0.0000 0.0000
Fe1 0.2500 0.2500 0.7500
Ag1 0.2500 0.2500 0.2500



Decreasing stability: A, B



A:
# KFe2Ag (SCAN, PBEsol geometry)
# Spin magnetization   5.56 μB per formula unit
data_KFe2Ag
_chemical_formula_sum 'K2 Fe4 Ag2'
_space_group_name_H-M_alt 'C 1 m 1'
_space_group_IT_number 8
_space_group_name_Hall 'C -2y'
_cell_length_a 8.0413
_cell_length_b 2.7517
_cell_length_c 7.2295
_cell_angle_alpha 90.00
_cell_angle_beta 96.08
_cell_angle_gamma 90.00
loop_
_atom_site_label
_atom_site_fract_x
_atom_site_fract_y
_atom_site_fract_z
K1 0.0000 0.0000 0.0000
Fe1 0.2762 0.5000 0.3531
Fe2 0.4921 0.0000 0.4417
Ag1 0.2281 0.0000 0.6564



B:
# KFe2Ag (SCAN, PBEsol geometry)
# Spin magnetization   5.43 μB per formula unit
data_KFe2Ag
_chemical_formula_sum 'K1 Fe2 Ag1'
_space_group_name_H-M_alt 'P 4 m m'
_space_group_IT_number 99
_space_group_name_Hall 'P 4 -2'
_cell_length_a 2.9875
_cell_length_b 2.9875
_cell_length_c 8.1590
_cell_angle_alpha 90.00
_cell_angle_beta 90.00
_cell_angle_gamma 90.00
loop_
_atom_site_label
_atom_site_fract_x
_atom_site_fract_y
_atom_site_fract_z
K1 0.0000 0.0000 0.0000
Fe1 0.0000 0.0000 0.5492
Fe2 0.5000 0.5000 0.6729
Ag1 0.5000 0.5000 0.3332



Decreasing stability: B, A



A:
# KFeAg2 (SCAN, PBEsol geometry)
# Spin magnetization   3.22 μB per formula unit
data_KFeAg2
_chemical_formula_sum 'K2 Fe2 Ag4'
_space_group_name_H-M_alt 'I 4/m m m'
_space_group_IT_number 139
_space_group_name_Hall '-I 4 2'
_cell_length_a 4.7587
_cell_length_b 4.7587
_cell_length_c 7.1090
_cell_angle_alpha 90.00
_cell_angle_beta 90.00
_cell_angle_gamma 90.00
loop_
_atom_site_label
_atom_site_fract_x
_atom_site_fract_y
_atom_site_fract_z
K1 0.0000 0.0000 0.0000
Fe1 0.0000 0.0000 0.5000
Ag1 0.0000 0.5000 0.2500



B:
# KFeAg2 (SCAN, PBEsol geometry)
# Spin magnetization   3.12 μB per formula unit
data_KFeAg2
_chemical_formula_sum 'K3 Fe3 Ag6'
_space_group_name_H-M_alt 'R -3 m'
_space_group_IT_number 166
_space_group_name_Hall '-R 3 2"'
_cell_length_a 2.9198
_cell_length_b 2.9198
_cell_length_c 29.9851
_cell_angle_alpha 90.00
_cell_angle_beta 90.00
_cell_angle_gamma 120.00
loop_
_atom_site_label
_atom_site_fract_x
_atom_site_fract_y
_atom_site_fract_z
K1 0.0000 0.0000 0.0000
Fe1 0.0000 0.0000 0.5000
Ag1 0.0000 0.0000 0.2373



Decreasing stability: B, A



A:
# K2FeAg (SCAN, PBEsol geometry)
# Spin magnetization   3.16 μB per formula unit
data_K2FeAg
_chemical_formula_sum 'K8 Fe4 Ag4'
_space_group_name_H-M_alt 'F -4 3 m'
_space_group_IT_number 216
_space_group_name_Hall 'F -4 2 3'
_cell_length_a 7.4640
_cell_length_b 7.4640
_cell_length_c 7.4640
_cell_angle_alpha 90.00
_cell_angle_beta 90.00
_cell_angle_gamma 90.00
loop_
_atom_site_label
_atom_site_fract_x
_atom_site_fract_y
_atom_site_fract_z
K1 0.0000 0.0000 0.0000
K2 0.2500 0.2500 0.2500
Fe1 0.2500 0.2500 0.7500
Ag1 0.0000 0.0000 0.5000



B:
# K2FeAg (SCAN, PBEsol geometry)
# Spin magnetization   2.99 μB per formula unit
data_K2FeAg
_chemical_formula_sum 'K2 Fe1 Ag1'
_space_group_name_H-M_alt 'P 4/m m m'
_space_group_IT_number 123
_space_group_name_Hall '-P 4 2'
_cell_length_a 3.0946
_cell_length_b 3.0946
_cell_length_c 10.5243
_cell_angle_alpha 90.00
_cell_angle_beta 90.00
_cell_angle_gamma 90.00
loop_
_atom_site_label
_atom_site_fract_x
_atom_site_fract_y
_atom_site_fract_z
K1 0.0000 0.0000 0.2486
Fe1 0.5000 0.5000 0.5000
Ag1 0.5000 0.5000 0.0000



C:
# K2FeAg (SCAN, PBEsol geometry)
# Spin magnetization   3.17 μB per formula unit
data_K2FeAg
_chemical_formula_sum 'K4 Fe2 Ag2'
_space_group_name_H-M_alt 'I m m 2'
_space_group_IT_number 44
_space_group_name_Hall 'I 2 -2'
_cell_length_a 4.1787
_cell_length_b 5.6066
_cell_length_c 10.5757
_cell_angle_alpha 90.00
_cell_angle_beta 90.00
_cell_angle_gamma 90.00
loop_
_atom_site_label
_atom_site_fract_x
_atom_site_fract_y
_atom_site_fract_z
K1 0.0000 0.0000 0.0000
K2 0.0000 0.5000 0.2038
Fe1 0.0000 0.0000 0.4078
Ag1 0.0000 0.5000 0.7791



Decreasing stability: C, A, B